Computed, not measured: crystalline AgTeMoO6 at its relaxed geometry at the PBE with a Hubbard U level of DFT.

The structure in POSCAR format:
```
AgTeMoO6
1.0
-4.0270 2.2636 -2.7066
1.1697 -5.1682 -0.7670
-6.5529 -2.6064 7.5699
Ag Te Mo O
2 2 2 12
Cartesian
0.0000 0.0000 0.0000 Ag
-3.2765 -1.3032 3.7850 Ag
-3.9330 -0.8652 -0.1676 Te
-5.4773 -4.6458 4.2639 Te
-2.2008 -3.3425 0.4790 Mo
-7.2095 -2.1685 3.6174 Mo
-2.7047 -2.1292 -1.0448 O
-4.4930 -0.1142 -1.8991 O
-4.6052 -5.9428 3.0670 O
-4.9173 -5.3968 5.9954 O
-3.4603 -2.0339 1.3445 O
-5.6264 -1.8261 -0.4590 O
-6.9018 -5.9911 4.0728 O
-4.8052 0.4318 1.0293 O
-3.7839 -3.6849 4.5553 O
-2.5085 0.4801 0.0235 O
-5.9500 -3.4771 2.7518 O
-6.7056 -3.3818 5.1411 O
```

Total DFT energy (no corrections): -104.4 eV/cell